Entry from Alexandria: a relaxed LiAgAsAu crystal (PBE).

Cell: 4.5942 4.5942 4.5942 Å, 60.00 60.00 60.00°
Fractional positions:
As  0.0000  0.0000  0.0000
Au  0.7500  0.7500  0.7500
Ag  0.2500  0.2500  0.2500
Li  0.5000  0.5000  0.5000

## Properties
The formation energy comes out at -0.204 eV per atom. The total magnetization is 0.000 μB/f.u.